Entry from Alexandria: a relaxed Ac3Zn2Pd6Pt crystal (GGA-PBE).

abc: 5.7287 5.7287 9.3898
angles: 90.00 90.00 120.00
Closest atoms and distances in Å follow each position.
Fractional positions:
Ac 0.3333 0.6667 0.6049  6 Pd 3.10, 3 Pt 3.45
Ac 0.6667 0.3333 0.3951  6 Pd 3.10, 3 Pt 3.45
Ac 0.0000 0.0000 0.0000  6 Pd 3.03, 6 Zn 3.34
Zn 0.6667 0.3333 0.9528  3 Pd 2.63
Zn 0.3333 0.6667 0.0472  3 Pd 2.63
Pd 0.6605 0.8303 0.2681  1 Zn 2.63, 1 Pt 2.75, 4 Pd 2.81-2.92
Pd 0.1697 0.3395 0.2681  1 Zn 2.63, 1 Pt 2.75, 4 Pd 2.81-2.92
Pd 0.1697 0.8303 0.2681  1 Zn 2.63, 1 Pt 2.75, 4 Pd 2.81-2.92
Pd 0.8303 0.6605 0.7319  1 Zn 2.63, 1 Pt 2.75, 4 Pd 2.81-2.92
Pd 0.3395 0.1697 0.7319  1 Zn 2.63, 1 Pt 2.75, 4 Pd 2.81-2.92
Pd 0.8303 0.1697 0.7319  1 Zn 2.63, 1 Pt 2.75, 4 Pd 2.81-2.92
Pt 0.0000 0.0000 0.5000  6 Pd 2.75

Energy of formation from the pure elements (eV/atom): -0.65
Size of the total moment (μB/cell): 0.00
DOS(E_F) (states/eV per atom): 0.327

---

Entry from Alexandria: a relaxed NaCdPd4 crystal (GGA-PBE).

abc: 5.0423 7.2475 7.1605
angles: 120.40 102.48 90.00
Closest atoms and distances in Å follow each position.
Fractional positions:
Na 0.9002 0.7972 0.5944  8 Pd 2.79-3.04, 1 Cd 2.84
Na 0.0998 0.2028 0.4056  8 Pd 2.79-3.04, 1 Cd 2.84
Cd 0.2228 0.4403 0.8805  7 Pd 2.70-2.99, 2 Cd 2.82-2.98, 1 Na 2.84
Cd 0.7772 0.5597 0.1195  7 Pd 2.70-2.99, 2 Cd 2.82-2.98, 1 Na 2.84
Pd 0.3302 0.6791 0.3581  4 Pd 2.73-2.79, 3 Cd 2.81-2.99, 2 Na 2.88-2.90
Pd 0.4535 0.0684 0.7678  6 Pd 2.67-2.99, 1 Cd 2.73
Pd 0.0000 0.1896 0.0000  2 Cd 2.70, 5 Pd 2.75-2.99, 2 Na 2.79
Pd 0.5465 0.3006 0.2322  6 Pd 2.67-2.99, 1 Cd 2.73
Pd 0.6698 0.3209 0.6419  4 Pd 2.73-2.79, 3 Cd 2.81-2.99, 2 Na 2.88-2.90
Pd 0.5465 0.9316 0.2322  6 Pd 2.67-2.99, 1 Cd 2.73
Pd 0.0000 0.8104 0.0000  2 Cd 2.70, 5 Pd 2.75-2.99, 2 Na 2.79
Pd 0.4535 0.6994 0.7678  6 Pd 2.67-2.99, 1 Cd 2.73

Energy of formation from the pure elements (eV/atom): -0.02
Offset from the most stable computed form (eV/f.u.): 0.80
Size of the total moment (μB/cell): 0.00
DOS(E_F) (states/eV per atom): 0.658

---

Entry from Alexandria: a relaxed KAgF3 crystal (GGA-PBE).

abc: 5.2821 5.2821 5.2821
angles: 87.45 87.45 87.45
Closest atoms and distances in Å follow each position.
Fractional positions:
K 0.5691 0.5691 0.5691  3 F 2.55
Ag 0.9042 0.9042 0.9042  3 F 2.10
F 0.6539 0.0939 0.6539  1 Ag 2.10
F 0.0939 0.6539 0.6539  1 Ag 2.10
F 0.6539 0.6539 0.0939  1 Ag 2.10

Size of the total moment (μB/cell): 1.00
Energy relative to the elements, uncorrected (meV/atom): -1479
DOS(E_F) (states/eV per atom): 0.033

---

Entry from Alexandria: a relaxed Pr4Ho15In crystal (GGA-PBE).

abc: 4.9934 4.9934 25.2159
angles: 90.00 90.00 90.00
Closest atoms and distances in Å follow each position.
Fractional positions:
Pr 0.0000 0.0000 0.1975  12 Ho 3.53-3.59
Pr 0.0000 0.0000 0.3986  12 Ho 3.53-3.57
Pr 0.0000 0.0000 0.6014  12 Ho 3.53-3.57
Pr 0.0000 0.0000 0.8025  12 Ho 3.53-3.59
Ho 0.5000 0.5000 0.0000  8 Ho 3.46, 4 In 3.53
Ho 0.5000 0.5000 0.1939  8 Ho 3.53-3.62, 4 Pr 3.53
Ho 0.5000 0.5000 0.3983  4 Pr 3.53, 8 Ho 3.56-3.58
Ho 0.5000 0.5000 0.6017  4 Pr 3.53, 8 Ho 3.56-3.58
Ho 0.5000 0.5000 0.8061  8 Ho 3.53-3.62, 4 Pr 3.53
Ho 0.5000 0.0000 0.0951  2 In 3.46, 8 Ho 3.46-3.53, 2 Pr 3.59
Ho 0.5000 0.0000 0.2977  8 Ho 3.53-3.62, 4 Pr 3.55-3.57
Ho 0.5000 0.0000 0.5000  8 Ho 3.53-3.58, 4 Pr 3.57
Ho 0.5000 0.0000 0.7023  8 Ho 3.53-3.62, 4 Pr 3.55-3.57
Ho 0.5000 0.0000 0.9049  8 Ho 3.46-3.53, 2 In 3.46, 2 Pr 3.59
Ho 0.0000 0.5000 0.0951  2 In 3.46, 8 Ho 3.46-3.53, 2 Pr 3.59
Ho 0.0000 0.5000 0.2977  8 Ho 3.53-3.62, 4 Pr 3.55-3.57
Ho 0.0000 0.5000 0.5000  8 Ho 3.53-3.58, 4 Pr 3.57
Ho 0.0000 0.5000 0.7023  8 Ho 3.53-3.62, 4 Pr 3.55-3.57
Ho 0.0000 0.5000 0.9049  8 Ho 3.46-3.53, 2 In 3.46, 2 Pr 3.59
In 0.0000 0.0000 0.0000  12 Ho 3.46-3.53

Energy of formation from the pure elements (eV/atom): -0.02
Size of the total moment (μB/cell): 0.02
DOS(E_F) (states/eV per atom): 1.239

---

Entry from Alexandria: a relaxed Al2ZnIr crystal (GGA-PBE).

abc: 4.7703 4.7703 4.5068
angles: 80.88 80.88 35.16
Closest atoms and distances in Å follow each position.
Fractional positions:
Zn 0.7556 0.7556 0.7626  7 Al 2.56-2.79, 3 Ir 2.80-2.81
Ir 0.5045 0.5045 0.4762  7 Al 2.62-2.69, 3 Zn 2.80-2.81, 2 Ir 2.88
Al 0.9983 0.9983 0.9809  3 Zn 2.56-2.79, 4 Ir 2.67-2.69, 1 Al 2.78
Al 0.2416 0.2416 0.2804  3 Ir 2.62-2.68, 4 Zn 2.63-2.73, 5 Al 2.78-2.88

Energy of formation from the pure elements (eV/atom): -0.42
Size of the total moment (μB/cell): 0.00
DOS(E_F) (states/eV per atom): 0.343

---

Entry from Alexandria: a relaxed Cd2P3 crystal (GGA-PBE).

abc: 12.2157 10.7318 6.2581
angles: 87.82 61.39 30.79
Closest atoms and distances in Å follow each position.
Fractional positions:
Cd 0.8953 0.2450 0.4805  3 P 2.62-2.72
Cd 0.3792 0.4805 0.2450  3 P 2.62-2.72
Cd 0.0050 0.3547 0.8708  3 P 2.62-2.72
Cd 0.7695 0.8708 0.3547  3 P 2.62-2.72
P 0.0375 0.0829 0.7694  2 P 2.35-2.37, 1 Cd 2.62
P 0.1102 0.7694 0.0829  2 P 2.35-2.37, 1 Cd 2.62
P 0.1671 0.2125 0.1398  2 P 2.35-2.37, 1 Cd 2.62
P 0.4806 0.1398 0.2125  2 P 2.35-2.37, 1 Cd 2.62
P 0.5778 0.4222 0.4222  4 P 2.35-2.37
P 0.8278 0.6722 0.6722  4 P 2.35-2.37

Energy of formation from the pure elements (eV/atom): 0.20
Offset from the most stable computed form (eV/f.u.): 0.21
Size of the total moment (μB/cell): 0.00
DOS(E_F) (states/eV per atom): 0.306

---

Entry from Alexandria: a relaxed FeNi2As crystal (GGA-PBE).

abc: 4.0714 4.0714 4.0714
angles: 60.00 60.00 60.00
Closest atoms and distances in Å follow each position.
Fractional positions:
As 0.5000 0.5000 0.5000  4 Ni 2.49, 4 Fe 2.49
Fe 0.2500 0.2500 0.2500  4 As 2.49, 4 Ni 2.49
Ni 0.0000 0.0000 0.0000  4 Ni 2.49, 4 Fe 2.49
Ni 0.7500 0.7500 0.7500  4 Ni 2.49, 4 As 2.49

Energy of formation from the pure elements (eV/atom): -0.04
Size of the total moment (μB/cell): 2.88
DOS(E_F) (states/eV per atom): 0.793

---

Entry from Alexandria: a relaxed Li3Ag8 crystal (GGA-PBE).

abc: 4.1378 5.0092 10.2867
angles: 103.16 90.00 114.39
Closest atoms and distances in Å follow each position.
Fractional positions:
Li 0.0000 0.0000 0.0000  12 Ag 2.86-2.91
Li 0.9033 0.8067 0.3610  11 Ag 2.85-2.95, 1 Li 2.96
Li 0.0967 0.1933 0.6390  11 Ag 2.85-2.95, 1 Li 2.96
Ag 0.7266 0.4532 0.0900  4 Li 2.85-2.91, 8 Ag 2.88-2.91
Ag 0.2734 0.5468 0.9100  4 Li 2.85-2.91, 8 Ag 2.88-2.91
Ag 0.5467 0.0935 0.8164  4 Li 2.87-2.90, 8 Ag 2.87-2.91
Ag 0.4533 0.9065 0.1836  4 Li 2.87-2.90, 8 Ag 2.87-2.91
Ag 0.8217 0.6435 0.7279  4 Li 2.86-2.90, 8 Ag 2.88-2.90
Ag 0.1783 0.3565 0.2721  4 Li 2.86-2.90, 8 Ag 2.88-2.90
Ag 0.6354 0.2707 0.4555  7 Ag 2.84-2.92, 5 Li 2.85-2.95
Ag 0.3646 0.7293 0.5445  7 Ag 2.84-2.92, 5 Li 2.85-2.95

Energy of formation from the pure elements (eV/atom): -0.14
Offset from the most stable computed form (eV/f.u.): 0.00
Size of the total moment (μB/cell): 0.00
DOS(E_F) (states/eV per atom): 0.277

---

Entry from Alexandria: a relaxed Pm2PuGaRu2 crystal (GGA-PBE).

abc: 6.1448 6.2458 8.3476
angles: 111.97 111.60 90.00
Closest atoms and distances in Å follow each position.
Fractional positions:
Pm 0.3852 0.1748 0.3495  5 Ru 3.03-3.39, 2 Ga 3.21
Pm 0.6148 0.8252 0.6505  5 Ru 3.03-3.39, 2 Ga 3.21
Pm 0.0357 0.3252 0.6505  5 Ru 3.03-3.39, 2 Ga 3.21
Pm 0.9643 0.6748 0.3495  5 Ru 3.03-3.39, 2 Ga 3.21
Pu 0.5000 0.7500 0.0000  4 Ru 2.66
Pu 0.5000 0.2500 0.0000  4 Ru 2.66
Ga 0.0000 0.7500 0.0000  4 Ru 2.72
Ga 0.0000 0.2500 0.0000  4 Ru 2.72
Ru 0.8507 0.1096 0.2192  2 Pu 2.66, 2 Ga 2.72
Ru 0.3685 0.6096 0.2192  2 Pu 2.66, 2 Ga 2.72
Ru 0.6315 0.3904 0.7808  2 Pu 2.66, 2 Ga 2.72
Ru 0.1493 0.8904 0.7808  2 Pu 2.66, 2 Ga 2.72

Energy of formation from the pure elements (eV/atom): -0.28
Size of the total moment (μB/cell): 9.93
DOS(E_F) (states/eV per atom): 1.438